DFT (GGA+U) results for an optimized crystal structure of Tm2ScVO6.

The structure in POSCAR format:
```
Tm2ScVO6
1.0
-2.108 4.859 -1.414
-3.218 0.412 -4.421
-5.623 0.877 0.777
O Tm Sc V
6 2 1 1
Cartesian
-5.947 1.371 -1.520
-3.335 3.213 -1.497
-6.083 4.045 -0.846
-5.382 5.091 -3.788
-4.920 1.554 -4.272
-7.436 3.111 -3.067
-5.316 0.949 0.559
-5.123 3.154 -2.778
-7.504 4.773 -4.294
-1.981 1.710 -1.800
```

Values from the calculation:
**Energy**: -8.45 eV/atom
**Fermi-level density of states**: 0.0000 states/eV per atom